No. 1
The following is a GGA-PBE calculation of an optimized crystal structure of LaAl2W, from Alexandria via LeMat-Bulk.

* relative energy among the computed polymorphs: 0.3937 eV/atom
* electronic total energy: -5.97 eV/atom
* formation enthalpy at 0 K: 0.38 eV/atom
* space group: P4/mmm (123)

Cell: 4.194 4.194 4.628 Å, 90.00 90.00 90.00°
Fractional positions:
1 La 0.000 0.000 0.000
2 Al 0.000 0.500 0.500
3 Al 0.500 0.000 0.500
4 W 0.500 0.500 0.000

No. 2
The following is a GGA-PBE calculation of an optimized crystal structure of LaAlW2, from Alexandria via LeMat-Bulk.

* electronic total energy: -8.09 eV/atom
* formation enthalpy at 0 K: 0.55 eV/atom
* space group: R3m (160)

Cell: 10.654 10.654 10.654 Å, 15.71 15.71 15.71°
Fractional positions:
1 La 0.000 0.000 0.000
2 Al 0.240 0.240 0.240
3 W 0.502 0.502 0.502
4 W 0.760 0.760 0.760

No. 3
The following is a GGA-PBE calculation of an optimized crystal structure of LaAl2W, from Alexandria via LeMat-Bulk.

* relative energy among the computed polymorphs: 0.2327 eV/atom
* electronic total energy: -6.13 eV/atom
* formation enthalpy at 0 K: 0.21 eV/atom
* space group: P4mm (99)

Cell: 3.419 3.419 7.285 Å, 90.00 90.00 90.00°
Fractional positions:
1 La 0.000 0.000 0.000
2 Al 0.000 0.000 0.448
3 Al 0.500 0.500 0.658
4 W 0.500 0.500 0.292

No. 4
The following is a GGA-PBE calculation of an optimized crystal structure of LaAlW2, from Alexandria via LeMat-Bulk.

* electronic total energy: -8.32 eV/atom
* formation enthalpy at 0 K: 0.33 eV/atom
* space group: Cmm2 (35)

Cell: 2.930 2.930 9.772 Å, 90.00 90.00 112.07°
Fractional positions:
1 La 0.000 0.000 0.000
2 Al 0.500 0.500 0.710
3 W 0.000 0.000 0.490
4 W 0.500 0.500 0.281

No. 5
The following is a GGA-PBE calculation of an optimized crystal structure of LaAl2W, from Alexandria via LeMat-Bulk.

* relative energy among the computed polymorphs: 0.1728 eV/atom
* electronic total energy: -6.19 eV/atom
* formation enthalpy at 0 K: 0.15 eV/atom
* space group: Pm (6)

Cell: 2.942 4.346 6.725 Å, 90.00 102.48 90.00°
Fractional positions:
1 La 0.000 0.000 0.000
2 Al 0.238 0.000 0.468
3 Al 0.356 0.500 0.709
4 W 0.685 0.500 0.362

No. 6
The following is a GGA-PBE calculation of an optimized crystal structure of LaAlW2, from Alexandria via LeMat-Bulk.

* electronic total energy: -8.11 eV/atom
* formation enthalpy at 0 K: 0.53 eV/atom
* space group: C2/m (12)

Cell: 5.125 5.125 5.511 Å, 98.96 98.96 32.71°
Fractional positions:
1 La 0.000 0.000 0.000
2 Al 0.500 0.500 0.500
3 W 0.224 0.224 0.709
4 W 0.776 0.776 0.291

No. 7
The following is a GGA-PBE calculation of an optimized crystal structure of LaAlW2, from Alexandria via LeMat-Bulk.

* electronic total energy: -7.90 eV/atom
* formation enthalpy at 0 K: 0.75 eV/atom
* space group: Immm (71)

Cell: 5.569 5.569 5.569 Å, 144.86 127.46 64.79°
Fractional positions:
1 La 0.000 0.000 0.000
2 Al 0.500 0.500 0.000
3 W 0.260 0.760 0.500
4 W 0.740 0.240 0.500

No. 8
The following is a GGA-PBE calculation of an optimized crystal structure of LaAl2W, from Alexandria via LeMat-Bulk.

* relative energy among the computed polymorphs: 0.1992 eV/atom
* electronic total energy: -6.16 eV/atom
* formation enthalpy at 0 K: 0.18 eV/atom
* space group: I4/mmm (139)

Cell: 5.099 5.099 5.099 Å, 128.18 128.18 76.33°
Fractional positions:
1 La 0.000 0.000 0.000
2 Al 0.250 0.750 0.500
3 Al 0.750 0.250 0.500
4 W 0.500 0.500 0.000